{"formula": "Na3Sr8Rh", "functional": "PBE-GGA", "state": "relaxed", "dos_at_fermi_per_ev_fu": 9.20, "energy_ev_per_atom": -2.079, "delta_e_f_ev_per_fu": -0.18, "lattice_angstrom": [[12.1398, 0.0000, 0.0000], [-6.0699, 10.5133, 0.0000], [0.0000, 0.0000, 8.7188]], "species": ["Na", "Na", "Na", "Na", "Na", "Na", "Sr", "Sr", "Sr", "Sr", "Sr", "Sr", "Sr", "Sr", "Sr", "Sr", "Sr", "Sr", "Sr", "Sr", "Sr", "Sr", "Rh", "Rh"], "fractional_positions": [[0.1560, 0.3120, 0.0000], [0.1560, 0.8440, 0.0000], [0.3120, 0.1560, 0.5000], [0.6880, 0.8440, 0.0000], [0.8440, 0.1560, 0.5000], [0.8440, 0.6880, 0.5000], [0.0000, 0.0000, 0.2610], [0.0000, 0.0000, 0.7610], [0.0658, 0.5329, 0.2441], [0.2104, 0.4208, 0.5521], [0.2104, 0.7896, 0.5521], [0.3333, 0.6667, 0.9350], [0.4208, 0.2104, 0.0521], [0.4671, 0.5329, 0.2441], [0.4671, 0.9342, 0.2441], [0.5329, 0.0658, 0.7441], [0.5329, 0.4671, 0.7441], [0.5792, 0.7896, 0.5521], [0.6667, 0.3333, 0.4350], [0.7896, 0.2104, 0.0521], [0.7896, 0.5792, 0.0521], [0.9342, 0.4671, 0.7441], [0.3333, 0.6667, 0.3558], [0.6667, 0.3333, 0.8558]]}